# 1
8
Lattice="-5.4194 3.3149 -2.5526 -0.3479 -2.8970 6.1937 3.8875 4.9647 1.2719" Properties=species:S:1:pos:R:3 comment="PBE YHoCl6, optimized geometry" vol_a3_per_atom=30.45 mass_density_kg_m3=3181 total_energy_ev_per_atom=-5.0395 pbc="T T T"
Cl 2.4534 2.7520 3.4139
Cl -0.3418 1.3205 1.1190
Cl -1.5488 4.0753 3.7755
Cl -2.5175 0.4066 4.6304
Cl 0.6614 4.9699 0.2819
Cl -4.3459 2.6232 1.5187
Ho -1.1870 -1.8693 4.7466
Y -4.5807 2.2876 -1.1062

***

# 2
11
Lattice="7.3486 -4.5142 0.0000 7.3486 4.5142 0.0000 -0.5867 0.0000 7.7235" Properties=species:S:1:pos:R:3 comment="PBE In2PdI6Cl2, optimized geometry" vol_a3_per_atom=46.58 mass_density_kg_m3=3786 total_energy_ev_per_atom=-2.6815 pbc="T T T"
I 8.8341 2.6125 1.0896
I 5.2766 2.6125 6.6339
I 5.2766 -2.6125 6.6339
I 5.5462 0.0000 2.4804
I 8.8341 -2.6125 1.0896
I 8.5644 0.0000 5.2430
Pd 0.0000 0.0000 0.0000
In 2.8697 0.0000 2.6799
In 11.2409 0.0000 5.0436
Cl 11.9968 0.0000 2.7949
Cl 2.1138 0.0000 4.9286

***

# 3
6
Lattice="-2.6451 -3.7319 0.2235 4.2637 -0.3104 -1.6425 3.9184 -2.1438 10.5771" Properties=species:S:1:pos:R:3 comment="PBE Pr2In2ICl, optimized geometry" vol_a3_per_atom=34.76 mass_density_kg_m3=5365 total_energy_ev_per_atom=-4.1336 pbc="T T T"
Cl 3.2546 -1.7806 8.7852
I 0.2011 -2.8886 1.0680
Pr 4.7309 -2.9664 6.4569
Pr 3.1803 -2.1181 2.2713
In 1.8038 -3.7655 5.3942
In 1.8218 -0.9967 4.9177